1.
First-principles (PBE) data for a relaxed Dy6Y3Er crystal, as listed in Alexandria.

Unit cell a=8.8890 b=9.0194 c=9.0194 alpha=117.39 beta=90.00 gamma=90.00
Sites, in units of the cell vectors:
1 Dy 0.7720 0.8219 0.5290
2 Dy 0.5975 0.6951 0.8133
3 Dy 0.2720 0.1781 0.4710
4 Dy 0.6673 0.2812 0.7188
5 Dy 0.0975 0.3049 0.1867
6 Dy 0.2847 0.9469 0.0531
7 Dy 0.0975 0.8133 0.6951
8 Dy 0.1673 0.7188 0.2812
9 Dy 0.7847 0.0531 0.9469
10 Dy 0.2720 0.5290 0.8219
11 Dy 0.7720 0.4710 0.1781
12 Dy 0.5975 0.1867 0.3049
13 Er 0.5339 0.7794 0.2206
14 Er 0.0339 0.2206 0.7794
15 Y 0.4124 0.5502 0.4498
16 Y 0.4241 0.3247 0.0270
17 Y 0.4241 0.9730 0.6753
18 Y 0.9241 0.6753 0.9730
19 Y 0.9124 0.4498 0.5502
20 Y 0.9241 0.0270 0.3247

Calculated values
Total magnetization ... 0.00 Bohr magnetons per cell
Formation energy from the elements ... 132 meV per atom
Space-group type ... Cmc2_1, No. 36
Uncorrected energy ... -100.505 eV per cell

2.
First-principles (PBE) data for a relaxed Dy7Y2Er crystal, as listed in Alexandria.

Unit cell a=5.0661 b=9.8304 c=9.8304 alpha=128.39 beta=90.00 gamma=90.00
Sites, in units of the cell vectors:
1 Y 0.5000 0.7033 0.2967
2 Y 0.5000 0.2967 0.7033
3 Er 0.0000 0.0000 0.0000
4 Dy 0.5000 0.7150 0.9237
5 Dy 0.0000 0.1912 0.8088
6 Dy 0.0000 0.8088 0.1912
7 Dy 0.5000 0.9237 0.7150
8 Dy 0.5000 0.0763 0.2850
9 Dy 0.5000 0.5000 0.5000
10 Dy 0.5000 0.2850 0.0763

Calculated values
Total magnetization ... 0.00 Bohr magnetons per cell
Formation energy from the elements ... 695 meV per atom
Space-group type ... Cmmm, No. 65
Uncorrected energy ... -42.758 eV per cell

3.
First-principles (PBE) data for a relaxed Dy2Y7Er2 crystal, as listed in Alexandria.

Unit cell a=5.5140 b=8.1456 c=9.3305 alpha=115.88 beta=107.19 gamma=90.00
Sites, in units of the cell vectors:
1 Dy 0.7009 0.3227 0.4018
2 Dy 0.2991 0.9210 0.5982
3 Y 0.8610 0.7750 0.7220
4 Y 0.5000 0.9210 0.0000
5 Y 0.1368 0.4659 0.2737
6 Y 0.1390 0.0530 0.2780
7 Y 0.6606 0.7838 0.3212
8 Y 0.8632 0.1922 0.7263
9 Y 0.3394 0.4626 0.6788
10 Er 0.5000 0.3336 0.0000
11 Er 0.0000 0.6231 0.0000

Calculated values
Total magnetization ... 0.00 Bohr magnetons per cell
Formation energy from the elements ... 115 meV per atom
Space-group type ... Imm2, No. 44
Uncorrected energy ... -62.318 eV per cell

4.
First-principles (PBE) data for a relaxed Dy6Y5Er crystal, as listed in Alexandria.

Unit cell a=11.7692 b=6.1530 c=6.1470 alpha=59.97 beta=85.03 gamma=80.02
Sites, in units of the cell vectors:
1 Y 0.5000 0.1667 0.6667
2 Y 0.5000 0.8333 0.3333
3 Y 0.0000 0.3333 0.3334
4 Y 0.5000 0.5000 0.0000
5 Y 0.0000 0.6667 0.6666
6 Er 0.0000 0.0000 0.0000
7 Dy 0.2494 0.5848 0.3324
8 Dy 0.7506 0.0828 0.3324
9 Dy 0.2494 0.9172 0.6676
10 Dy 0.7507 0.7505 0.0000
11 Dy 0.2493 0.2495 0.0000
12 Dy 0.7506 0.4152 0.6676

Calculated values
Total magnetization ... 0.00 Bohr magnetons per cell
Formation energy from the elements ... 21 meV per atom
Space-group type ... C2/m, No. 12
Uncorrected energy ... -64.244 eV per cell

Which value of uncorrected energy does entry 1 give? -100.505 eV per cell